TcICl2: optimized geometry, PBE.

Calculated values
Total energy = -3.684 eV/atom
D(E_F) = 0.93 states/eV/atom
Polymorph energy (0 for the lowest one) = 0.304 eV/atom
SG = I-42d, No. 122

Structure (POSCAR):
```
TcICl2
1.0
-6.127 -2.405 -2.771
2.851 0.275 -6.542
-0.136 -5.436 -4.185
I Tc Cl
2 2 4
direct
0.000 0.000 0.000
0.750 0.250 0.500
0.500 0.500 0.000
0.250 0.750 0.500
0.480 0.125 0.250
0.270 0.625 0.250
0.375 0.520 0.750
0.875 0.730 0.750
```